w:
Compound: ZrAlFeCu
Source: the Open Quantum Materials Database
Functional: PBE
Structure: relaxed

Cell lengths 4.4283, 4.4283, 4.4283 Å; angles 60.00, 60.00, 60.00 degrees
Closest atoms and distances in Å follow each position.
Fractional positions:
Zr 0.2500 0.2500 0.2500  4 Fe 2.71, 4 Al 2.71
Fe 0.5000 0.5000 0.5000  4 Zr 2.71, 4 Cu 2.71
Cu 0.7500 0.7500 0.7500  4 Al 2.71, 4 Fe 2.71
Al 0.0000 0.0000 0.0000  4 Zr 2.71, 4 Cu 2.71

Properties
- M_tot (μB/cell) = 1.9
- volume (Å³ per cell) = 61

=====

x:
Compound: ZrAlFeCu
Source: the Open Quantum Materials Database
Functional: PBE
Structure: relaxed

Cell lengths 4.3759, 4.3759, 4.3759 Å; angles 60.00, 60.00, 60.00 degrees
Closest atoms and distances in Å follow each position.
Fractional positions:
Zr 0.5000 0.5000 0.5000  4 Fe 2.68, 4 Cu 2.68
Fe 0.2500 0.2500 0.2500  4 Zr 2.68, 4 Al 2.68
Al 0.0000 0.0000 0.0000  4 Cu 2.68, 4 Fe 2.68
Cu 0.7500 0.7500 0.7500  4 Al 2.68, 4 Zr 2.68

Properties
- M_tot (μB/cell) = 1.0
- volume (Å³ per cell) = 59

=====

Relative energy of each structure, in kJ/mol of atoms: w 21.4; x 0.0.